First-principles (PBE) data for CoBiTe2 after structural relaxation, as listed in the Alexandria database. Values from VASP.

```
&SYSTEM
  ibrav = 0, nat = 4, ntyp = 3
/
ATOMIC_SPECIES
Te 127.60 Te.upf
Co 58.93 Co.upf
Bi 208.98 Bi.upf
CELL_PARAMETERS angstrom
2.6949 0.0000 8.2615
-1.3474 2.3339 8.2615
-1.3474 -2.3339 8.2615
ATOMIC_POSITIONS angstrom
Te 0.0000 0.0000 2.4683
Te 0.0000 0.0000 22.3162
Co 0.0000 0.0000 0.0000
Bi 0.0000 0.0000 12.3922
```

Calculated values
Space group   R-3m, No. 166
E_tot   -15.62 eV/f.u.